## i
VASP calculation (GGA-PBE) on a relaxed structure of PmNdBiPb.

The structure belongs to space group F-43m (No. 216); the cell edges are 7.931, 7.931 and 7.931 Å and the angles 90.00°, 90.00° and 90.00°. The inequivalent atoms are Pm at (0.000, 0.000, 0.000), Nd at (0.000, 0.000, 0.500), Bi at (0.250, 0.250, 0.750) and Pb at (0.250, 0.250, 0.250).

***

## ii
VASP calculation (GGA-PBE) on a relaxed structure of PmNdBiPb.

The structure belongs to space group P4/mmm (No. 123); the cell edges are 4.582, 4.582 and 6.469 Å and the angles 90.00°, 90.00° and 90.00°. The inequivalent atoms are Pm at (0.000, 0.000, 0.000), Nd at (0.500, 0.500, 0.500), Bi at (0.000, 0.000, 0.500) and Pb at (0.500, 0.500, 0.000).

***

Ordering by calculated energy gives the sequence ii, i, with the first entry being the most stable.

***

## i
VASP calculation (GGA-PBE) on a relaxed structure of NdBi2Pd7.

The structure belongs to space group Cmmm (No. 65); the cell edges are 7.500, 13.774 and 4.554 Å and the angles 90.00°, 90.00° and 90.00°. The inequivalent atoms are Nd at (0.000, 0.000, 0.000), Bi at (0.000, 0.304, 0.500), Pd at (0.000, 0.203, 0.000), Pd at (0.000, 0.500, 0.500) and Pd at (0.180, 0.106, 0.500).

***

## ii
VASP calculation (GGA-PBE) on a relaxed structure of NdBi2Pd7.

The structure belongs to space group I4/mmm (No. 139); the cell edges are 4.125, 4.125 and 23.890 Å and the angles 90.00°, 90.00° and 90.00°. The inequivalent atoms are Nd at (0.000, 0.000, 0.000), Bi at (0.000, 0.000, 0.331), Pd at (0.000, 0.000, 0.500), Pd at (0.000, 0.500, 0.090) and Pd at (0.000, 0.500, 0.250).

***

Ordering by calculated energy gives the sequence ii, i, with the first entry being the most stable.

***

## i
VASP calculation (GGA-PBE) on a relaxed structure of NdBiPdRh.

The structure belongs to space group Amm2 (No. 38); the cell edges are 4.203, 4.044 and 10.531 Å and the angles 90.00°, 90.00° and 90.00°. The inequivalent atoms are Nd at (0.000, 0.000, 0.000), Bi at (0.500, 0.000, 0.722), Pd at (0.000, 0.000, 0.280) and Rh at (0.500, 0.000, 0.454).

***

## ii
VASP calculation (GGA-PBE) on a relaxed structure of NdBiPdRh.

The structure belongs to space group F-43m (No. 216); the cell edges are 6.995, 6.995 and 6.995 Å and the angles 90.00°, 90.00° and 90.00°. The inequivalent atoms are Nd at (0.000, 0.000, 0.000), Bi at (0.000, 0.000, 0.500), Pd at (0.250, 0.250, 0.250) and Rh at (0.250, 0.250, 0.750).

***

Ordering by calculated energy gives the sequence i, ii, with the first entry being the most stable.

***

## i
VASP calculation (GGA-PBE) on a relaxed structure of PmNd3Bi4.

The structure belongs to space group Pm-3m (No. 221); the cell edges are 6.504, 6.504 and 6.504 Å and the angles 90.00°, 90.00° and 90.00°. The inequivalent atoms are Pm at (0.000, 0.000, 0.000), Nd at (0.000, 0.500, 0.500), Bi at (0.000, 0.000, 0.500) and Bi at (0.500, 0.500, 0.500).

***

## ii
VASP calculation (GGA-PBE) on a relaxed structure of PmNd3Bi4.

The structure belongs to space group Cmmm (No. 65); the cell edges are 9.202, 13.014 and 4.604 Å and the angles 90.00°, 90.00° and 90.00°. The inequivalent atoms are Pm at (0.000, 0.000, 0.000), Nd at (0.000, 0.500, 0.000), Nd at (0.250, 0.250, 0.500), Bi at (0.000, 0.249, 0.000) and Bi at (0.249, 0.000, 0.500).

***

Ordering by calculated energy gives the sequence i, ii, with the first entry being the most stable.